Density functional theory data (PBE) for an optimized crystal structure of LaAgBRh2.

Results
DOS at the Fermi energy (states/eV/cell): 1.36
E_form (eV/atom): -0.391

a b c (Å): 4.3470 4.3470 4.4598
angles (deg): 90.00 90.00 90.00
Closest atoms and distances in Å follow each position.
Space group P4/mmm (No. 123)
Unique sites:
La (0.0000, 0.0000, 0.0000) (multiplicity 1)  4 Ag 3.07, 8 Rh 3.11
Ag (0.5000, 0.5000, 0.0000) (multiplicity 1)  2 B 2.23
B (0.5000, 0.5000, 0.5000) (multiplicity 1)  4 Rh 2.17, 2 Ag 2.23
Rh (0.0000, 0.5000, 0.5000) (multiplicity 2)  2 B 2.17